VASP calculation (GGA-PBE) on a relaxed structure of MgGaCoOs.

Summary:
Crystal system: cubic
Symmetry: No. 216
Offset from the most stable computed form: 0.0000 eV per atom

```
4
Lattice="0.000 3.016 3.016 3.016 0.000 3.016 3.016 3.016 0.000" Properties=species:S:1:pos:R:3 pbc="T T T"
Mg 0.000 0.000 0.000
Ga 3.016 3.016 3.016
Co 4.523 4.523 4.523
Os 1.508 1.508 1.508
```